# 1
{"formula": "SmCu13", "functional": "PBE-GGA", "state": "optimized geometry", "final_energy_ev_per_cell": -117.34, "crystal_system": "cubic", "lattice_angstrom": [[7.0710, 0.0000, 4.0824], [2.3570, 6.6666, 4.0824], [0.0000, 0.0000, 8.1648]], "species": ["Sm", "Sm", "Cu", "Cu", "Cu", "Cu", "Cu", "Cu", "Cu", "Cu", "Cu", "Cu", "Cu", "Cu", "Cu", "Cu", "Cu", "Cu", "Cu", "Cu", "Cu", "Cu", "Cu", "Cu", "Cu", "Cu", "Cu", "Cu"], "frac_coords": [[0.7500, 0.7500, 0.7500], [0.2500, 0.2500, 0.2500], [0.4373, 0.5627, 0.2024], [0.2024, 0.7976, 0.4373], [0.7976, 0.2024, 0.5627], [0.5627, 0.4373, 0.7976], [0.5627, 0.7976, 0.2024], [0.7976, 0.5627, 0.4373], [0.2024, 0.4373, 0.5627], [0.4373, 0.2024, 0.7976], [0.7976, 0.4373, 0.2024], [0.5627, 0.2024, 0.4373], [0.4373, 0.7976, 0.5627], [0.2024, 0.5627, 0.7976], [0.2976, 0.9373, 0.0627], [0.0627, 0.7024, 0.2976], [0.9373, 0.2976, 0.7024], [0.7024, 0.0627, 0.9373], [0.2976, 0.7024, 0.9373], [0.0627, 0.9373, 0.7024], [0.9373, 0.0627, 0.2976], [0.7024, 0.2976, 0.0627], [0.2976, 0.0627, 0.7024], [0.0627, 0.2976, 0.9373], [0.9373, 0.7024, 0.0627], [0.7024, 0.9373, 0.2976], [0.5000, 0.5000, 0.5000], [0.0000, 0.0000, 0.0000]]}

# 2
{"formula": "RbGa2Ir", "functional": "PBE-GGA", "state": "optimized geometry", "de_polymorph_mev_per_atom": 0, "crystal_system": "trigonal", "lattice_angstrom": [[4.3401, 0.0000, 0.0000], [2.1700, 3.7586, 0.0000], [2.1700, 1.2529, 6.3973]], "species": ["Ir", "Ga", "Ga", "Rb"], "frac_coords": [[0.0000, 0.0000, 0.0000], [0.3065, 0.3065, 0.0804], [0.6935, 0.6935, 0.9196], [0.5000, 0.5000, 0.5000]]}

# 3
{"formula": "TbInH", "functional": "PBE-GGA", "state": "optimized geometry", "de_polymorph_mev_per_atom": 82, "crystal_system": "hexagonal", "lattice_angstrom": [[3.6345, 0.0000, 0.0000], [-1.8172, 3.1475, 0.0000], [0.0000, 0.0000, 5.3501]], "species": ["H", "Tb", "In"], "frac_coords": [[0.3333, 0.6667, 0.4997], [0.6667, 0.3333, 0.5001], [0.0000, 0.0000, 0.0002]]}

# 4
{"formula": "AlAg2Os", "functional": "PBE-GGA", "state": "optimized geometry", "final_energy_ev_per_cell": -20.08, "crystal_system": "tetragonal", "lattice_angstrom": [[-2.7541, -0.7549, 0.7375], [0.9725, -1.0147, 2.5930], [-1.0269, 6.6734, 2.9964]], "species": ["Os", "Al", "Ag", "Ag"], "frac_coords": [[0.5000, 0.5000, 0.7188], [0.0000, 0.0000, 0.5233], [0.0000, 0.0000, 0.9895], [0.5000, 0.5000, 0.2683]]}

# 5
{"formula": "ScZnNiMo2", "functional": "PBE-GGA", "state": "optimized geometry", "final_energy_ev_per_cell": -25.42, "crystal_system": "tetragonal", "lattice_angstrom": [[-1.7977, -3.3914, 2.4185], [1.0748, -3.0740, -3.5118], [4.0391, -0.7754, 1.9150]], "species": ["Sc", "Ni", "Mo", "Mo", "Zn"], "frac_coords": [[0.0000, 0.0000, 0.0000], [0.5000, 0.5000, 0.5000], [0.0000, 0.0000, 0.5000], [0.5000, 0.0000, 0.0000], [0.0000, 0.5000, 0.0000]]}

# 6
{"formula": "Nd2TeAu", "functional": "PBE-GGA", "state": "optimized geometry", "e_form_raw_ev_per_atom": -1.058, "de_polymorph_mev_per_atom": 26, "crystal_system": "trigonal", "lattice_angstrom": [[-0.8954, 1.1473, 4.0566], [1.0733, -2.6027, 3.2631], [6.8580, 2.9752, 2.9541]], "species": ["Nd", "Nd", "Te", "Au"], "frac_coords": [[0.7451, 0.7451, 0.7659], [0.2549, 0.2549, 0.2341], [0.5000, 0.5000, 0.5000], [0.0000, 0.0000, 0.0000]]}

# 7
{"formula": "YGe2Rh", "functional": "PBE-GGA", "state": "optimized geometry", "final_energy_ev_per_cell": -23.16, "crystal_system": "trigonal", "lattice_angstrom": [[-2.9111, 1.0246, 0.7446], [-1.6688, -1.4696, 2.2659], [2.2027, 5.6960, 7.5408]], "species": ["Y", "Ge", "Ge", "Rh"], "frac_coords": [[0.0000, 0.0000, 0.0000], [0.1027, 0.1027, 0.6919], [0.8973, 0.8973, 0.3081], [0.5000, 0.5000, 0.5000]]}

# 8
{"formula": "Pm5Y5Tm2", "functional": "PBE-GGA", "state": "optimized geometry", "de_polymorph_mev_per_atom": 0, "crystal_system": "monoclinic", "lattice_angstrom": [[-4.5923, 0.2578, 2.1583], [2.4656, -7.6313, 0.1776], [4.2247, 6.6202, 8.1983]], "species": ["Pm", "Pm", "Pm", "Pm", "Pm", "Y", "Y", "Y", "Y", "Y", "Tm", "Tm"], "frac_coords": [[0.5000, 0.0000, 0.5000], [0.6665, 0.3330, 0.9995], [0.5823, 0.1647, 0.2498], [0.4177, 0.8353, 0.7502], [0.3335, 0.6670, 0.0005], [0.1664, 0.3328, 0.5005], [0.7483, 0.4967, 0.7484], [0.2517, 0.5033, 0.2516], [0.8336, 0.6672, 0.4995], [0.0000, 0.0000, 0.0000], [0.0834, 0.1669, 0.7500], [0.9166, 0.8331, 0.2500]]}

# 9
{"formula": "La2BeBi", "functional": "PBE-GGA", "state": "optimized geometry", "de_polymorph_mev_per_atom": 0, "crystal_system": "cubic", "lattice_angstrom": [[-0.7575, -5.4011, 0.3913], [-5.0541, -2.0215, 0.5181], [-2.2833, -2.7475, -4.1396]], "species": ["Be", "Bi", "La", "La"], "frac_coords": [[0.0000, 0.0000, 0.0000], [0.5000, 0.5000, 0.5000], [0.2500, 0.2500, 0.2500], [0.7500, 0.7500, 0.7500]]}

# 10
{"formula": "In2IrPtF", "functional": "PBE-GGA", "state": "optimized geometry", "e_form_raw_ev_per_atom": 0.136, "crystal_system": "tetragonal", "lattice_angstrom": [[-0.9344, -4.1949, 1.6875], [0.8040, -1.7069, -3.7980], [4.4360, -0.5169, 1.1714]], "species": ["F", "Ir", "Pt", "In", "In"], "frac_coords": [[0.0000, 0.0000, 0.0000], [0.0000, 0.5000, 0.0000], [0.5000, 0.5000, 0.5000], [0.0000, 0.0000, 0.5000], [0.5000, 0.0000, 0.0000]]}

# 11
{"formula": "LiTl2Si", "functional": "PBE-GGA", "state": "optimized geometry", "e_form_raw_ev_per_atom": 0.177, "de_polymorph_mev_per_atom": 35, "crystal_system": "monoclinic", "lattice_angstrom": [[-0.5461, 4.8839, 0.7093], [-2.4990, 3.1665, 2.8952], [3.9363, 1.0128, 4.3125]], "species": ["Li", "Si", "Tl", "Tl"], "frac_coords": [[0.7500, 0.7500, 0.7500], [0.2500, 0.2500, 0.2500], [0.0000, 0.0000, 0.0003], [0.5000, 0.5000, 0.4997]]}

# 12
{"formula": "BaP2O2", "functional": "PBE-GGA", "state": "optimized geometry", "e_form_raw_ev_per_atom": 1.209, "de_polymorph_mev_per_atom": 1974, "crystal_system": "tetragonal", "lattice_angstrom": [[-5.5575, 3.5046, -2.0001], [-4.0331, -4.9349, 2.5593], [-0.0886, 2.1914, 4.0859]], "species": ["P", "P", "Ba", "O", "O"], "frac_coords": [[0.0000, 0.5000, 0.0000], [0.5000, 0.0000, 0.0000], [0.0000, 0.0000, 0.0000], [0.5000, 0.5000, 0.5000], [0.0000, 0.0000, 0.5000]]}